{
  "formula": "PaSi2",
  "functional": "PBE-GGA",
  "state": "optimized geometry",
  "lattice_angstrom": [[-3.117, -2.499, -0.559], [0.739, -0.054, -3.883], [3.679, -1.493, 0.721]],
  "species": ["Pa", "Si", "Si"],
  "frac_coords": [[0.000, 0.000, 0.000], [0.667, 0.500, 0.333], [0.333, 0.500, 0.667]],
  "final_energy_ev_per_cell": -21.94,
  "spacegroup": "P6/mmm (191)",
  "n_ef_per_ev_cell": 2.8,
  "volume_a3_per_atom": 18.58,
  "de_polymorph_ev_per_atom": 0.000,
  "raw_formation_energy_kj_per_mol_atoms": -52
}

{
  "formula": "PaSi",
  "functional": "PBE-GGA",
  "state": "optimized geometry",
  "lattice_angstrom": [[4.083, 0.000, 0.000], [2.041, 3.536, 0.000], [2.041, 1.179, 3.334]],
  "species": ["Si", "Pa"],
  "frac_coords": [[0.000, 0.000, 0.000], [0.500, 0.500, 0.500]],
  "final_energy_ev_per_cell": -15.64,
  "spacegroup": "Fm-3m (225)",
  "n_ef_per_ev_cell": 2.7,
  "volume_a3_per_atom": 24.06,
  "raw_formation_energy_kj_per_mol_atoms": -35
}